No. 1
6
Lattice="0.474 -2.363 4.728 -2.746 1.818 4.161 -4.031 -2.838 1.963" Properties=species:S:1:pos:R:3 comment="PBE-GGA SnOs2, relaxed" vol_a3_per_atom=17.61 spacegroup="Fd-3m (227)" total_magnetization_mub_per_fu=0.033 e_tot_ev_per_atom=-8.043 pbc="T T T"
Os -1.924 -0.695 5.801
Os -2.567 -3.023 4.702
Os -4.176 -0.933 4.419
Os -3.939 -2.114 6.783
Sn 0.000 0.000 0.000
Sn -1.576 -0.846 2.713

No. 2
3
Lattice="0.000 3.502 3.502 3.502 0.000 3.502 3.502 3.502 0.000" Properties=species:S:1:pos:R:3 comment="PBE-GGA SrSnOs, relaxed" vol_a3_per_atom=28.62 spacegroup="F-43m (216)" total_magnetization_mub_per_fu=0.006 e_tot_ev_per_atom=-4.176 pbc="T T T"
Os 1.751 1.751 1.751
Sn 5.252 5.252 5.252
Sr 0.000 0.000 0.000

No. 3
3
Lattice="3.738 -1.945 -2.268 2.921 -2.990 2.329 -0.010 -4.666 -1.062" Properties=species:S:1:pos:R:3 comment="PBE-GGA SrSnOs, relaxed" vol_a3_per_atom=25.83 spacegroup="F-43m (216)" total_magnetization_mub_per_fu=0.004 e_tot_ev_per_atom=-5.225 pbc="T T T"
Os 0.000 0.000 0.000
Sn 1.662 -2.400 -0.250
Sr 4.987 -7.201 -0.751

No. 4
8
Lattice="5.238 0.000 0.000 0.000 5.238 0.000 0.000 0.000 5.238" Properties=species:S:1:pos:R:3 comment="PBE-GGA Ta6SnOs, relaxed" vol_a3_per_atom=17.97 spacegroup="Pm-3 (200)" total_magnetization_mub_per_fu=0.003 e_tot_ev_per_atom=-10.942 pbc="T T T"
Os 0.000 0.000 0.000
Sn 2.619 2.619 2.619
Ta 2.619 1.279 0.000
Ta 2.619 3.960 0.000
Ta 0.000 2.619 1.279
Ta 1.279 0.000 2.619
Ta 3.960 0.000 2.619
Ta 0.000 2.619 3.960

No. 5
4
Lattice="0.000 3.225 3.225 3.225 0.000 3.225 3.225 3.225 0.000" Properties=species:S:1:pos:R:3 comment="PBE-GGA TaSnOs2, relaxed" vol_a3_per_atom=16.77 spacegroup="F-43m (216)" total_magnetization_mub_per_fu=0.370 e_tot_ev_per_atom=-9.071 pbc="T T T"
Os 0.000 0.000 0.000
Os 4.837 4.837 4.837
Sn 3.225 3.225 3.225
Ta 1.612 1.612 1.612

No. 6
3
Lattice="0.000 3.299 3.299 3.299 0.000 3.299 3.299 3.299 0.000" Properties=species:S:1:pos:R:3 comment="PBE-GGA TbSnOs, relaxed" vol_a3_per_atom=23.93 spacegroup="F-43m (216)" total_magnetization_mub_per_fu=0.004 e_tot_ev_per_atom=-6.744 pbc="T T T"
Os 0.000 0.000 0.000
Sn 1.649 1.649 1.649
Tb 4.948 4.948 4.948

No. 7
3
Lattice="0.000 3.054 3.054 3.054 0.000 3.054 3.054 3.054 0.000" Properties=species:S:1:pos:R:3 comment="PBE-GGA TcSnOs, relaxed" relative_energy_ev_per_atom=0.000 vol_a3_per_atom=18.98 spacegroup="F-43m (216)" total_magnetization_mub_per_fu=0.032 pbc="T T T"
Os 0.000 0.000 0.000
Sn 1.527 1.527 1.527
Tc 4.580 4.580 4.580

No. 8
4
Lattice="-0.300 -4.449 0.521 -2.276 -1.705 3.474 -3.918 -2.081 -0.687" Properties=species:S:1:pos:R:3 comment="PBE-GGA Tc2SnOs, relaxed" vol_a3_per_atom=15.99 spacegroup="F-43m (216)" total_magnetization_mub_per_fu=1.864 e_tot_ev_per_atom=-8.648 pbc="T T T"
Os -1.624 -2.059 0.827
Sn -3.247 -4.117 1.654
Tc 0.000 0.000 0.000
Tc -4.871 -6.176 2.481